[1]
## CoNiAg4 (PBEsol)

Data for CoNiAg4 after structural relaxation. Values from VASP.

Summary:
**Formation energy from the elements**: 0.75 eV per atom
**Symmetry**: F-43m (216)
**Total DFT energy (no corrections)**: -22.65 eV per formula unit

Geometry as Quantum ESPRESSO input:
```
&SYSTEM
  ibrav = 0, nat = 6, ntyp = 3
/
ATOMIC_SPECIES
Co 58.93 Co.upf
Ni 58.69 Ni.upf
Ag 107.87 Ag.upf
CELL_PARAMETERS angstrom
0.000 3.668 3.668
3.668 0.000 3.668
3.668 3.668 0.000
ATOMIC_POSITIONS crystal
Co 0.000 0.000 0.000
Ni 0.250 0.250 0.250
Ag 0.125 0.625 0.625
Ag 0.625 0.125 0.625
Ag 0.625 0.625 0.125
Ag 0.625 0.625 0.625
```


[2]
## ZrP3Se (PBEsol)

Data for ZrP3Se after structural relaxation. Values from VASP.

Summary:
**Symmetry**: Pm-3m (221)
**Total DFT energy (no corrections)**: -26.89 eV per formula unit

Geometry as Quantum ESPRESSO input:
```
&SYSTEM
  ibrav = 0, nat = 5, ntyp = 3
/
ATOMIC_SPECIES
Zr 91.22 Zr.upf
P 30.97 P.upf
Se 78.96 Se.upf
CELL_PARAMETERS angstrom
4.942 0.000 0.000
0.000 4.942 0.000
0.000 0.000 4.942
ATOMIC_POSITIONS crystal
Zr 0.000 0.000 0.000
P 0.000 0.000 0.500
P 0.000 0.500 0.000
P 0.500 0.000 0.000
Se 0.500 0.500 0.500
```


[3]
## Tm2SbTe (PBEsol)

Data for Tm2SbTe after structural relaxation. Values from VASP.

Summary:
**Symmetry**: R-3m (166)
**Total DFT energy (no corrections)**: -22.73 eV per formula unit

Geometry as Quantum ESPRESSO input:
```
&SYSTEM
  ibrav = 0, nat = 4, ntyp = 3
/
ATOMIC_SPECIES
Tm 168.93 Tm.upf
Sb 121.76 Sb.upf
Te 127.60 Te.upf
CELL_PARAMETERS angstrom
2.131 1.230 6.944
-2.131 1.230 6.944
0.000 -2.461 6.944
ATOMIC_POSITIONS crystal
Tm 0.247 0.247 0.247
Tm 0.753 0.753 0.753
Sb 0.500 0.500 0.500
Te 0.000 0.000 0.000
```


[4]
## KHg2Pb2 (PBEsol)

Data for KHg2Pb2 after structural relaxation. Values from VASP.

Summary:
**Formation energy from the elements**: -0.09 eV per atom
**Symmetry**: I4/mmm (139)
**Total DFT energy (no corrections)**: -10.70 eV per formula unit

Geometry as Quantum ESPRESSO input:
```
&SYSTEM
  ibrav = 0, nat = 5, ntyp = 3
/
ATOMIC_SPECIES
K 39.10 K.upf
Hg 200.59 Hg.upf
Pb 207.20 Pb.upf
CELL_PARAMETERS angstrom
-2.560 2.560 6.021
2.560 -2.560 6.021
2.560 2.560 -6.021
ATOMIC_POSITIONS crystal
K 0.000 0.000 0.000
Hg 0.250 0.750 0.500
Hg 0.750 0.250 0.500
Pb 0.376 0.376 0.000
Pb 0.624 0.624 0.000
```


[5]
## AlCl (PBEsol)

Data for AlCl after structural relaxation. Values from VASP.

Summary:
**Symmetry**: P-3m1 (164)
**Total DFT energy (no corrections)**: -7.33 eV per formula unit

Geometry as Quantum ESPRESSO input:
```
&SYSTEM
  ibrav = 0, nat = 4, ntyp = 2
/
ATOMIC_SPECIES
Al 26.98 Al.upf
Cl 35.45 Cl.upf
CELL_PARAMETERS angstrom
3.384 0.000 0.000
-1.692 2.931 0.000
0.000 0.000 8.396
ATOMIC_POSITIONS crystal
Al 0.333 0.667 0.107
Al 0.667 0.333 0.893
Cl 0.333 0.667 0.700
Cl 0.667 0.333 0.300
```


[6]
## LiZrTe3 (PBEsol)

Data for LiZrTe3 after structural relaxation. Values from VASP.

Summary:
**Symmetry**: Pm-3m (221)
**Total DFT energy (no corrections)**: -20.88 eV per formula unit

Geometry as Quantum ESPRESSO input:
```
&SYSTEM
  ibrav = 0, nat = 5, ntyp = 3
/
ATOMIC_SPECIES
Li 6.94 Li.upf
Zr 91.22 Zr.upf
Te 127.60 Te.upf
CELL_PARAMETERS angstrom
4.955 0.000 0.000
0.000 4.955 0.000
0.000 0.000 4.955
ATOMIC_POSITIONS crystal
Li 0.000 0.000 0.000
Zr 0.500 0.500 0.500
Te 0.000 0.000 0.500
Te 0.000 0.500 0.000
Te 0.500 0.000 0.000
```


[7]
## KYTl2 (PBEsol)

Data for KYTl2 after structural relaxation. Values from VASP.

Summary:
**Formation energy from the elements**: 0.00 eV per atom
**Symmetry**: P4mm (99)
**Total DFT energy (no corrections)**: -13.21 eV per formula unit

Geometry as Quantum ESPRESSO input:
```
&SYSTEM
  ibrav = 0, nat = 4, ntyp = 3
/
ATOMIC_SPECIES
K 39.10 K.upf
Y 88.91 Y.upf
Tl 204.38 Tl.upf
CELL_PARAMETERS angstrom
3.613 0.000 0.000
0.000 3.613 0.000
0.000 0.000 9.972
ATOMIC_POSITIONS crystal
K 0.000 0.000 0.000
Y 0.500 0.500 0.654
Tl 0.000 0.000 0.464
Tl 0.500 0.500 0.263
```


[8]
## CaMg4Cu (PBEsol)

Data for CaMg4Cu after structural relaxation. Values from VASP.

Summary:
**Formation energy from the elements**: -0.09 eV per atom
**Symmetry**: Pmma (51)
**Total DFT energy (no corrections)**: -13.85 eV per formula unit

Geometry as Quantum ESPRESSO input:
```
&SYSTEM
  ibrav = 0, nat = 12, ntyp = 3
/
ATOMIC_SPECIES
Ca 40.08 Ca.upf
Mg 24.30 Mg.upf
Cu 63.55 Cu.upf
CELL_PARAMETERS angstrom
8.858 0.000 0.000
0.000 4.061 0.000
0.000 0.000 7.538
ATOMIC_POSITIONS crystal
Ca 0.250 0.000 0.094
Ca 0.750 0.000 0.906
Mg 0.000 0.000 0.500
Mg 0.064 0.500 0.803
Mg 0.250 0.500 0.452
Mg 0.436 0.500 0.803
Mg 0.500 0.000 0.500
Mg 0.564 0.500 0.197
Mg 0.750 0.500 0.548
Mg 0.936 0.500 0.197
Cu 0.250 0.000 0.695
Cu 0.750 0.000 0.305
```